Below is a relaxed As2O3 crystal, with properties calculated at the GGA-PBE level.

Properties
- crystal system = orthorhombic
- energy relative to the elements, uncorrected (kcal/mol of atoms) = -26.69

```
As2O3
1.0
5.3993 0.0000 0.0000
0.0000 12.8338 0.0000
0.0000 0.0000 5.2598
As O
8 12
Cartesian
0.4933 1.6973 0.8745
0.4933 4.7196 3.5044
2.2064 1.6973 3.5044
2.2064 4.7196 0.8745
3.1929 8.1142 4.3853
3.1929 11.1365 1.7554
4.9061 8.1142 1.7554
4.9061 11.1365 4.3853
0.8757 0.9039 4.5215
0.8757 5.5130 1.8916
1.3498 3.2085 0.2416
1.3498 3.2085 2.8715
1.8240 0.9039 1.8916
1.8240 5.5130 4.5215
3.5754 7.3208 0.7383
3.5754 11.9299 3.3682
4.0495 9.6254 2.3884
4.0495 9.6254 5.0183
4.5237 7.3208 3.3682
4.5237 11.9299 0.7383
```